Here is a PBEsol-optimized structure of Mn2H2SO6 from Alexandria via LeMat-Bulk. Energies are from meta-GGA SCAN.

Cell lengths 6.0749, 6.7402, 6.7402 Å; angles 113.40, 111.20, 68.80 degrees
With the nearest neighbours (Å) after each atom.
Positions (direct):
O 0.4157 0.4581 0.6812  1 S 1.49
O 0.9157 0.3188 0.5419  1 S 1.49
O 0.7057 0.0492 0.6798  1 H 0.99
O 0.3998 0.8451 0.7540  1 S 1.49
O 0.8998 0.2460 0.1549  1 S 1.49
O 0.6002 0.1549 0.2460  1 S 1.49
O 0.5843 0.5419 0.3188  1 S 1.49
O 0.0843 0.6812 0.4581  1 S 1.49
O 0.2057 0.3202 0.9508  1 H 0.99
O 0.1002 0.7540 0.8451  1 S 1.49
O 0.7943 0.6798 0.0492  1 H 0.99
O 0.2943 0.9508 0.3202  1 H 0.99
H 0.1810 0.0551 0.2345  1 O 0.99
H 0.6810 0.7655 0.9449  1 O 0.99
H 0.8190 0.9449 0.7655  1 O 0.99
H 0.3190 0.2345 0.0551  1 O 0.99
Mn 0.3230 0.1491 0.6574  6 O 2.09-2.30
Mn 0.1770 0.6574 0.1491  6 O 2.09-2.30
Mn 0.8230 0.3426 0.8509  6 O 2.09-2.30
Mn 0.6770 0.8509 0.3426  6 O 2.09-2.30
S 0.7500 0.3144 0.3144  4 O 1.49
S 0.2500 0.6856 0.6856  4 O 1.49

Calculated values
space-group type = C2/c
magnetic moment = 10.00 μB per formula unit

=====

Here is a PBEsol-optimized structure of MnH6S4O16 from Alexandria via LeMat-Bulk. Energies are from meta-GGA SCAN.

Cell lengths 5.1756, 8.3100, 15.1692 Å; angles 90.00, 90.00, 104.53 degrees
With the nearest neighbours (Å) after each atom.
Positions (direct):
O 0.3771 0.2329 0.3185  2 H 1.46-1.47, 1 S 1.49
O 0.6229 0.7671 0.6815  2 H 1.46-1.47, 1 S 1.49
O 0.7046 0.5945 0.5615  1 S 1.46
O 0.7231 0.3903 0.9597  1 H 1.04
O 0.2953 0.1890 0.9353  1 S 1.46
O 0.0213 0.6643 0.3882  1 S 1.45
O 0.2769 0.6097 0.0403  1 H 1.04
O 0.2954 0.4055 0.4385  1 S 1.46
O 0.3109 0.3812 0.7244  1 H 1.05
O 0.9316 0.1346 0.7321  1 H 1.05
O 0.7046 0.0945 0.9385  1 S 1.46
O 0.2954 0.9055 0.0615  1 S 1.46
O 0.7288 0.8564 0.3748  1 S 1.45, 1 H 1.48
O 0.0213 0.1643 0.1118  1 S 1.45
O 0.6891 0.1188 0.2244  1 H 1.05
O 0.3109 0.8812 0.7756  1 H 1.05
O 0.2712 0.1436 0.6252  1 S 1.45, 1 H 1.48
O 0.7047 0.8110 0.0647  1 S 1.46
O 0.7047 0.3110 0.4353  1 S 1.46
O 0.0684 0.8654 0.2679  1 H 1.05
O 0.7231 0.8903 0.5403  1 H 1.04
O 0.7288 0.3564 0.1252  1 S 1.45, 1 H 1.48
O 0.9787 0.8357 0.8882  1 S 1.45
O 0.9316 0.6346 0.7679  1 H 1.05
O 0.2953 0.6890 0.5647  1 S 1.46
O 0.6229 0.2671 0.8185  2 H 1.46-1.47, 1 S 1.49
O 0.0684 0.3654 0.2321  1 H 1.05
O 0.2712 0.6436 0.8748  1 S 1.45, 1 H 1.48
O 0.6891 0.6188 0.2756  1 H 1.05
O 0.9787 0.3357 0.6118  1 S 1.45
O 0.3771 0.7329 0.1815  2 H 1.46-1.47, 1 S 1.49
O 0.2769 0.1097 0.4597  1 H 1.04
H 0.5637 0.1671 0.2657  1 O 1.05
H 0.4363 0.3329 0.7657  1 O 1.05
H 0.8098 0.6943 0.7318  1 O 1.05
H 0.7251 0.3779 0.0283  1 O 1.04
H 0.1902 0.8057 0.2318  1 O 1.05
H 0.2749 0.1221 0.5283  1 O 1.04
H 0.2749 0.6221 0.9717  1 O 1.04
H 0.8098 0.1943 0.7682  1 O 1.05
H 0.1902 0.3057 0.2682  1 O 1.05
H 0.7251 0.8779 0.4717  1 O 1.04
H 0.5637 0.6671 0.2343  1 O 1.05
H 0.4363 0.8329 0.7343  1 O 1.05
S 0.8769 0.7518 0.3317  4 O 1.45-1.53
S 0.5792 0.7268 0.5859  4 O 1.46-1.54
S 0.1231 0.7482 0.8317  4 O 1.45-1.53
S 0.4208 0.7732 0.0859  4 O 1.46-1.54
S 0.4208 0.2732 0.4141  4 O 1.46-1.54
S 0.8769 0.2518 0.1683  4 O 1.45-1.53
S 0.1231 0.2482 0.6683  4 O 1.45-1.53
S 0.5792 0.2268 0.9141  4 O 1.46-1.54
Mn 0.0000 0.0000 0.0000  6 O 2.10-2.16
Mn 0.0000 0.5000 0.5000  6 O 2.10-2.16

Calculated values
space-group type = P2_1/c
magnetic moment = 5.00 μB per formula unit

=====

Here is a PBEsol-optimized structure of MnH6SO6 from Alexandria via LeMat-Bulk. Energies are from meta-GGA SCAN.

Cell lengths 6.6139, 8.5777, 8.7193 Å; angles 90.00, 90.00, 95.80 degrees
With the nearest neighbours (Å) after each atom.
Positions (direct):
O 0.7390 0.9245 0.9630  2 H 1.00
O 0.0332 0.6036 0.7952  1 S 1.57, 1 H 1.69
O 0.5161 0.2334 0.4554  1 S 1.54, 1 H 1.69
O 0.7610 0.5755 0.4630  2 H 1.00
O 0.6081 0.6383 0.1531  2 H 1.00-1.02
O 0.2798 0.8247 0.8639  1 S 1.54, 1 H 1.64
O 0.4668 0.8964 0.2952  1 S 1.57, 1 H 1.69
O 0.3639 0.3782 0.1524  2 H 1.01-1.02
O 0.8919 0.8617 0.6531  2 H 1.00-1.02
O 0.1081 0.1383 0.3469  2 H 1.00-1.02
O 0.6361 0.6218 0.8476  2 H 1.01-1.02
O 0.2390 0.4245 0.5370  2 H 1.00
O 0.4839 0.7666 0.5446  1 S 1.54, 1 H 1.69
O 0.2202 0.6753 0.3639  1 S 1.54, 1 H 1.64
O 0.5332 0.1036 0.7048  1 S 1.57, 1 H 1.69
O 0.0161 0.7334 0.0446  1 S 1.54, 1 H 1.69
O 0.1361 0.1218 0.6524  2 H 1.01-1.02
O 0.3919 0.3617 0.8469  2 H 1.00-1.02
O 0.7798 0.3247 0.6361  1 S 1.54, 1 H 1.64
O 0.9839 0.2666 0.9554  1 S 1.54, 1 H 1.69
O 0.8639 0.8782 0.3476  2 H 1.01-1.02
O 0.2610 0.0755 0.0370  2 H 1.00
O 0.9668 0.3964 0.2048  1 S 1.57, 1 H 1.69
O 0.7202 0.1753 0.1361  1 S 1.54, 1 H 1.64
H 0.0462 0.0196 0.6691  1 O 1.02
H 0.7189 0.8988 0.3290  1 O 1.01
H 0.3546 0.3649 0.5046  1 O 1.00
H 0.3777 0.3548 0.9627  1 O 1.02
H 0.7587 0.4761 0.5238  1 O 1.00
H 0.8546 0.8649 0.9954  1 O 1.00
H 0.2189 0.3988 0.1710  1 O 1.01
H 0.0419 0.2321 0.3119  1 O 1.00
H 0.9581 0.7679 0.6881  1 O 1.00
H 0.6223 0.6452 0.0373  1 O 1.02
H 0.5419 0.7321 0.1881  1 O 1.00
H 0.1223 0.1452 0.4627  1 O 1.02
H 0.7811 0.6012 0.8290  1 O 1.01
H 0.8777 0.8548 0.5373  1 O 1.02
H 0.6454 0.6351 0.4954  1 O 1.00
H 0.7413 0.0239 0.0238  1 O 1.00
H 0.4581 0.2679 0.8119  1 O 1.00
H 0.4538 0.4804 0.1691  1 O 1.02
H 0.2811 0.1012 0.6710  1 O 1.01
H 0.2413 0.5239 0.4762  1 O 1.00
H 0.9538 0.9804 0.3309  1 O 1.02
H 0.5462 0.5196 0.8309  1 O 1.02
H 0.2587 0.9761 0.9762  1 O 1.00
H 0.1454 0.1351 0.0046  1 O 1.00
Mn 0.5764 0.8591 0.7634  6 O 2.09-2.30
Mn 0.9236 0.6409 0.2634  6 O 2.09-2.30
Mn 0.0764 0.3591 0.7366  6 O 2.09-2.30
Mn 0.4236 0.1409 0.2366  6 O 2.09-2.30
S 0.6690 0.1732 0.5684  3 O 1.54-1.57
S 0.3310 0.8268 0.4316  3 O 1.54-1.57
S 0.1690 0.6732 0.9316  3 O 1.54-1.57
S 0.8310 0.3268 0.0684  3 O 1.54-1.57

Calculated values
space-group type = P2_1/c
magnetic moment = 5.00 μB per formula unit

=====

VASP energy for the records above, in order: -217.77, -430.25, -415.81 eV for the cell shown
Volume for the records above, in order: 228.4, 631.6, 492.1 Å³/cell